Record 1
{
  "formula": "Al2PPt",
  "functional": "meta-GGA SCAN",
  "state": "PBEsol geometry",
  "lattice_angstrom": [[-1.3637, 2.1454, 5.4155], [1.3637, -2.1454, 5.4155], [1.3637, 2.1454, -5.4155]],
  "species": ["Al", "Al", "P", "Pt"],
  "fractional_positions": [[0.0000, 0.0000, 0.0000], [0.7454, 0.2454, 0.5000], [0.3288, 0.8288, 0.5000], [0.5453, 0.5453, 0.0000]],
  "magmom_total_mub_per_fu": 0.00,
  "volume_a3_per_cell": 63.4,
  "formation_energy_ev_per_atom": -0.4228
}

---

Record 2
{
  "formula": "Hf2ReH",
  "functional": "meta-GGA SCAN",
  "state": "PBEsol geometry",
  "lattice_angstrom": [[-3.0859, 3.0859, 3.1610], [3.0859, -3.0859, 3.1610], [3.0859, 3.0859, -3.1610]],
  "species": ["Hf", "Hf", "Hf", "Hf", "Re", "Re", "H", "H"],
  "fractional_positions": [[0.0448, 0.6250, 0.9198], [0.3750, 0.2948, 0.4198], [0.7052, 0.1250, 0.0802], [0.8750, 0.9552, 0.5802], [0.2500, 0.7500, 0.5000], [0.5000, 0.5000, 0.0000], [0.0000, 0.0000, 0.0000], [0.7500, 0.2500, 0.5000]],
  "magmom_total_mub_per_fu": 0.00,
  "volume_a3_per_cell": 120.4
}

---

Record 3
{
  "formula": "SrFeSe2",
  "functional": "meta-GGA SCAN",
  "state": "PBEsol geometry",
  "lattice_angstrom": [[4.8684, 0.0000, 0.0000], [0.0000, 4.8684, 0.0000], [0.0000, 0.0000, 3.9888]],
  "species": ["Sr", "Fe", "Se", "Se"],
  "fractional_positions": [[0.0000, 0.0000, 0.0000], [0.5000, 0.5000, 0.5000], [0.0000, 0.5000, 0.5000], [0.5000, 0.0000, 0.5000]],
  "polymorph_energy_ev_per_atom": 0.0000,
  "e_form_raw_ev_per_atom": -1.079,
  "magmom_total_mub_per_fu": 3.55,
  "volume_a3_per_cell": 94.5
}

---

Record 4
{
  "formula": "AlIrAu4",
  "functional": "meta-GGA SCAN",
  "state": "PBEsol geometry",
  "lattice_angstrom": [[0.0000, 3.7381, 3.7381], [3.7381, 0.0000, 3.7381], [3.7381, 3.7381, 0.0000]],
  "species": ["Al", "Ir", "Au", "Au", "Au", "Au"],
  "fractional_positions": [[0.0000, 0.0000, 0.0000], [0.2500, 0.2500, 0.2500], [0.1254, 0.6249, 0.6249], [0.6249, 0.1254, 0.6249], [0.6249, 0.6249, 0.1254], [0.6249, 0.6249, 0.6249]],
  "magmom_total_mub_per_fu": 0.00,
  "volume_a3_per_cell": 104.5,
  "formation_energy_ev_per_atom": 0.5022
}

---

| no. | raw total energy (eV/atom) |
| --- | --- |
| 1 | -24.447 |
| 2 | -49.957 |
| 3 | -21.219 |
| 4 | -58.744 |